Record 1
DFT (PBE-GGA) results for a relaxed Na2NiW crystal.

Cell: 6.808 6.808 6.808 Å, 90.00 90.00 90.00°
Space group Fm-3m (No. 225)
Unique sites:
Na (0.250, 0.250, 0.250) [8 per cell]
Ni (0.000, 0.000, 0.000) [4 per cell]
W (0.000, 0.000, 0.500) [4 per cell]

Results
Its total magnetization is 16.9 μB/cell. The energy of formation is 1.678 eV per atom. Its density is 6.1 Mg/m³. The value obtained for the distance to the lowest polymorph of the same formula is 221.1 meV/atom.



Record 2
DFT (PBE-GGA) results for a relaxed Ac3Ag2Sn2 crystal.

Cell: 12.254 4.813 8.181 Å, 90.00 109.83 90.00°
Space group C2/m (No. 12)
Unique sites:
Ac (0.000, 0.000, 0.000) [2 per cell]
Ac (0.171, 0.000, 0.642) [4 per cell]
Ag (0.185, 0.500, 0.938) [4 per cell]
Sn (0.045, 0.500, 0.334) [4 per cell]

Results
Its total magnetization is 0.0 μB/cell. The energy of formation is -0.532 eV per atom. Its density is 8.3 Mg/m³.



Record 3
DFT (PBE-GGA) results for a relaxed KSrLa2Ru crystal.

Cell: 5.448 5.448 6.777 Å, 90.00 90.00 90.00°
Space group P4/mmm (No. 123)
Unique sites:
K (0.000, 0.000, 0.000) [1 per cell]
Sr (0.500, 0.500, 0.000) [1 per cell]
La (0.000, 0.500, 0.500) [2 per cell]
Ru (0.000, 0.000, 0.500) [1 per cell]

Results
Its total magnetization is 0.1 μB/cell. The energy of formation is 0.127 eV per atom. Its density is 4.2 Mg/m³. The value obtained for the distance to the lowest polymorph of the same formula is 125.8 meV/atom.



Record 4
DFT (PBE-GGA) results for a relaxed Ca2DyHfBi4 crystal.

Cell: 7.649 4.389 7.969 Å, 90.00 108.36 90.00°
Space group P2/m (No. 10)
Unique sites:
Ca (0.000, 0.000, 0.000) [1 per cell]
Ca (0.500, 0.500, 0.000) [1 per cell]
Dy (0.000, 0.500, 0.500) [1 per cell]
Hf (0.500, 0.000, 0.500) [1 per cell]
Bi (0.257, 0.000, 0.735) [2 per cell]
Bi (0.269, 0.500, 0.272) [2 per cell]

Results
Its total magnetization is 0.0 μB/cell. The energy of formation is -0.607 eV per atom. Its density is 8.2 Mg/m³.



Copy entry 2 word for word.
DFT (PBE-GGA) results for a relaxed Ac3Ag2Sn2 crystal.

Cell: 12.254 4.813 8.181 Å, 90.00 109.83 90.00°
Space group C2/m (No. 12)
Unique sites:
Ac (0.000, 0.000, 0.000) [2 per cell]
Ac (0.171, 0.000, 0.642) [4 per cell]
Ag (0.185, 0.500, 0.938) [4 per cell]
Sn (0.045, 0.500, 0.334) [4 per cell]

Results
Its total magnetization is 0.0 μB/cell. The energy of formation is -0.532 eV per atom. Its density is 8.3 Mg/m³.



The highest energy of formation belongs to which entry?
Na2NiW



Which of these has the lowest energy of formation?
Ca2DyHfBi4